5
Lattice="-1.744 1.744 7.725 1.744 -1.744 7.725 1.744 1.744 -7.725" Properties=species:S:1:pos:R:3 comment="TaCu2Te2 (PBE-GGA, optimized geometry)" de_polymorph_kj_per_mol_atoms=0.0 total_energy_ev_per_atom=-4.87 pbc="T T T"
Ta 0.000 0.000 0.000
Cu 1.744 0.000 3.862
Cu 0.000 1.744 3.862
Te 0.000 0.000 6.119
Te 0.000 0.000 9.330


4
Lattice="0.000 3.257 3.257 3.257 0.000 3.257 3.257 3.257 0.000" Properties=species:S:1:pos:R:3 comment="TaCuTeW (PBE-GGA, optimized geometry)" de_polymorph_kj_per_mol_atoms=0.3 total_energy_ev_per_atom=-7.32 pbc="T T T"
Ta 0.000 0.000 0.000
Cu 1.629 1.629 1.629
Te 3.257 3.257 3.257
W 4.886 4.886 4.886


4
Lattice="0.000 3.228 3.228 3.228 0.000 3.228 3.228 3.228 0.000" Properties=species:S:1:pos:R:3 comment="TaCuTeW (PBE-GGA, optimized geometry)" de_polymorph_kj_per_mol_atoms=0.0 total_energy_ev_per_atom=-7.32 pbc="T T T"
Ta 0.000 0.000 0.000
Cu 4.842 4.842 4.842
Te 1.614 1.614 1.614
W 3.228 3.228 3.228


3
Lattice="0.000 3.248 3.248 3.248 0.000 3.248 3.248 3.248 0.000" Properties=species:S:1:pos:R:3 comment="ThTaCu (PBE-GGA, optimized geometry)" total_energy_ev_per_atom=-7.06 pbc="T T T"
Th 0.000 0.000 0.000
Ta 3.248 3.248 3.248
Cu 4.872 4.872 4.872